4
Lattice="0.000 3.577 3.577 3.577 0.000 3.577 3.577 3.577 0.000" Properties=species:S:1:pos:R:3 comment="PmTlAsPd, optimized geometry, DFT PBE" formation_enthalpy_0k_mev_per_atom=-477 m_tot_mub_per_cell=0.0 space_group=F-43m pbc="T T T"
Pm 0.000 0.000 0.000
Tl 3.577 3.577 3.577
As 5.366 5.366 5.366
Pd 1.789 1.789 1.789

---

3
Lattice="6.295 0.000 0.000 -3.148 5.452 0.000 0.000 0.000 3.804" Properties=species:S:1:pos:R:3 comment="BaNaLa, optimized geometry, DFT PBE" formation_enthalpy_0k_mev_per_atom=257 m_tot_mub_per_cell=0.0 space_group=P3m1 pbc="T T T"
Ba 0.000 0.000 0.000
Na 0.000 3.635 1.034
La 3.148 1.817 2.351

---

Number 1: D(E_F) 4.20 states/eV/cell. Number 2: D(E_F) 3.19 states/eV/cell.